(1)
The following is a PBE calculation of a geometry-optimized YBTeSe2 structure, from Alexandria via LeMat-Bulk.

formation energy from raw total energies: 211 kJ/mol of formula units
calculated total energy: -21.07 eV for the cell shown

abc: 5.456 4.263 5.456
angles: 90.00 90.00 90.00
Sites, in units of the cell vectors:
1 Y 0.500 0.500 0.500
2 B 0.000 0.500 0.000
3 Te 0.000 0.000 0.000
4 Se 0.000 0.000 0.500
5 Se 0.500 0.000 0.000



(2)
The following is a PBE calculation of a geometry-optimized NiMoBr structure, from Alexandria via LeMat-Bulk.

formation energy from raw total energies: 233 kJ/mol of formula units
relative energy among the computed polymorphs: 335 meV/atom
calculated total energy: -15.87 eV for the cell shown

abc: 4.326 4.326 2.914
angles: 90.00 90.00 120.00
Sites, in units of the cell vectors:
1 Br 0.000 0.000 0.166
2 Mo 0.667 0.333 0.167
3 Ni 0.333 0.667 0.667



(3)
The following is a PBE calculation of a geometry-optimized CaDyAlCd structure, from Alexandria via LeMat-Bulk.

formation energy from the elements: -0.32 eV per atom
relative energy among the computed polymorphs: 8 meV/atom
calculated total energy: -12.53 eV for the cell shown

abc: 5.258 5.258 5.258
angles: 60.00 60.00 60.00
Sites, in units of the cell vectors:
1 Ca 0.250 0.250 0.250
2 Cd 0.000 0.000 0.000
3 Al 0.500 0.500 0.500
4 Dy 0.750 0.750 0.750



(4)
The following is a PBE calculation of a geometry-optimized AcSmTmPu structure, from Alexandria via LeMat-Bulk.

formation energy from the elements: 0.26 eV per atom
calculated total energy: -26.58 eV for the cell shown

abc: 5.794 5.794 5.794
angles: 60.00 60.00 60.00
Sites, in units of the cell vectors:
1 Ac 0.500 0.500 0.500
2 Tm 0.750 0.750 0.750
3 Sm 0.250 0.250 0.250
4 Pu 0.000 0.000 0.000



(5)
The following is a PBE calculation of a geometry-optimized ZnInPb2 structure, from Alexandria via LeMat-Bulk.

formation energy from the elements: 0.08 eV per atom
calculated total energy: -11.11 eV for the cell shown

abc: 3.502 3.502 8.723
angles: 90.00 90.00 90.00
Sites, in units of the cell vectors:
1 Pb 0.000 0.000 0.987
2 Pb 0.500 0.500 0.288
3 Zn 0.000 0.000 0.517
4 In 0.500 0.500 0.708